DFT (PBE) results for a relaxed structure of NaPtCl3.

a = 4.9385 Å, b = 4.9385 Å, c = 4.9385 Å
α = 90.00°, β = 90.00°, γ = 90.00°
Element x y z (fractional)
1 Cl 0.5000 0.0000 0.0000
2 Cl 0.0000 0.0000 0.5000
3 Cl 0.0000 0.5000 0.0000
4 Na 0.5000 0.5000 0.5000
5 Pt 0.0000 0.0000 0.0000

Summary:
Relative energy among the computed polymorphs ... 0.0 meV/atom
Raw formation energy ... -751 meV/atom
DOS(E_F) ... 1.0 states/eV/f.u.
Uncorrected energy ... -3.33 eV/atom
Volume ... 120 Å³ per cell